# 1
## AlInCl2 (PBE)

Data for a geometry-optimized AlInCl2 structure.

Cell and atoms, written as POSCAR:
```
AlInCl2
1.0
9.854 0.000 0.000
0.000 9.854 0.000
0.000 0.000 5.389
Al In Cl
4 4 8
direct
0.000 0.000 0.000 Al
0.000 0.500 0.250 Al
0.500 0.000 0.750 Al
0.500 0.500 0.500 Al
0.000 0.000 0.500 In
0.000 0.500 0.750 In
0.500 0.000 0.250 In
0.500 0.500 0.000 In
0.068 0.250 0.125 Cl
0.250 0.568 0.375 Cl
0.250 0.932 0.875 Cl
0.432 0.250 0.625 Cl
0.568 0.750 0.625 Cl
0.750 0.068 0.875 Cl
0.750 0.432 0.375 Cl
0.932 0.750 0.125 Cl
```

## Properties
- E (eV per atom) = -3.101
- energy relative to the lowest polymorph listed for this composition (eV per atom) = 0.164
- formation energy without anion corrections (eV/atom) = -0.56



# 2
## AlInCl6 (PBE)

Data for a geometry-optimized AlInCl6 structure.

Cell and atoms, written as POSCAR:
```
AlInCl6
1.0
3.115 1.798 5.565
-3.115 1.798 5.565
0.000 -3.597 5.565
Al In Cl
1 1 6
direct
0.000 0.000 0.000 Al
0.500 0.500 0.500 In
0.083 0.390 0.766 Cl
0.234 0.917 0.610 Cl
0.390 0.766 0.083 Cl
0.610 0.234 0.917 Cl
0.766 0.083 0.390 Cl
0.917 0.610 0.234 Cl
```

## Properties
- E (eV per atom) = -3.374
- formation energy without anion corrections (eV/atom) = -1.18



# 3
## AlIn5Cl8 (PBE)

Data for a geometry-optimized AlIn5Cl8 structure.

Cell and atoms, written as POSCAR:
```
AlIn5Cl8
1.0
-4.511 4.511 6.352
4.511 -4.511 6.352
4.511 4.511 -6.352
Al In Cl
1 5 8
direct
0.000 0.000 0.000 Al
0.130 0.379 0.757 In
0.250 0.750 0.500 In
0.621 0.378 0.751 In
0.622 0.373 0.243 In
0.627 0.870 0.249 In
0.294 0.095 0.192 Cl
0.389 0.174 0.781 Cl
0.393 0.607 0.219 Cl
0.393 0.611 0.785 Cl
0.826 0.607 0.215 Cl
0.898 0.706 0.801 Cl
0.902 0.102 0.808 Cl
0.905 0.098 0.199 Cl
```

## Properties
- E (eV per atom) = -3.343
- formation energy without anion corrections (eV/atom) = -1.04



# 4
## Al2InCl8 (PBE)

Data for a geometry-optimized Al2InCl8 structure.

Cell and atoms, written as POSCAR:
```
Al2InCl8
1.0
6.566 -4.577 0.000
6.566 4.577 0.000
-0.890 0.000 6.290
Al In Cl
2 1 8
direct
0.193 0.193 0.154 Al
0.807 0.807 0.846 Al
0.000 0.000 0.500 In
0.078 0.705 0.742 Cl
0.180 0.180 0.807 Cl
0.295 0.922 0.258 Cl
0.350 0.350 0.280 Cl
0.650 0.650 0.720 Cl
0.705 0.078 0.742 Cl
0.820 0.820 0.193 Cl
0.922 0.295 0.258 Cl
```

## Properties
- E (eV per atom) = -3.604
- energy relative to the lowest polymorph listed for this composition (eV per atom) = 0.000
- formation energy without anion corrections (eV/atom) = -1.33



# 5
## AlInCl2 (PBE)

Data for a geometry-optimized AlInCl2 structure.

Cell and atoms, written as POSCAR:
```
AlInCl2
1.0
3.415 0.000 0.000
0.000 6.148 0.000
0.000 0.000 9.175
Al In Cl
2 2 4
direct
0.000 0.000 0.000 Al
0.500 0.500 0.000 Al
0.000 0.000 0.500 In
0.500 0.500 0.500 In
0.000 0.500 0.210 Cl
0.000 0.500 0.790 Cl
0.500 0.000 0.210 Cl
0.500 0.000 0.790 Cl
```

## Properties
- E (eV per atom) = -3.008
- energy relative to the lowest polymorph listed for this composition (eV per atom) = 0.258
- formation energy without anion corrections (eV/atom) = -0.46



# 6
## AlInCl2 (PBE)

Data for a geometry-optimized AlInCl2 structure.

Cell and atoms, written as POSCAR:
```
AlInCl2
1.0
4.051 0.000 0.000
0.000 4.051 0.000
0.000 0.000 6.653
Al In Cl
1 1 2
direct
0.000 0.000 0.000 Al
0.500 0.500 0.596 In
0.000 0.000 0.353 Cl
0.500 0.500 0.063 Cl
```

## Properties
- E (eV per atom) = -3.119
- energy relative to the lowest polymorph listed for this composition (eV per atom) = 0.146
- formation energy without anion corrections (eV/atom) = -0.58



# 7
## AlIn2Cl4 (PBE)

Data for a geometry-optimized AlIn2Cl4 structure.

Cell and atoms, written as POSCAR:
```
AlIn2Cl4
1.0
5.026 0.000 0.000
0.000 5.026 0.000
0.000 0.000 16.472
Al In Cl
2 4 8
direct
0.000 0.000 0.000 Al
0.500 0.500 0.500 Al
0.000 0.500 0.250 In
0.000 0.500 0.750 In
0.500 0.000 0.250 In
0.500 0.000 0.750 In
0.242 0.242 0.080 Cl
0.242 0.758 0.920 Cl
0.258 0.258 0.580 Cl
0.258 0.742 0.420 Cl
0.742 0.258 0.420 Cl
0.742 0.742 0.580 Cl
0.758 0.242 0.920 Cl
0.758 0.758 0.080 Cl
```

## Properties
- E (eV per atom) = -3.381
- formation energy without anion corrections (eV/atom) = -1.01



# 8
## AlInCl2 (PBE)

Data for a geometry-optimized AlInCl2 structure.

Cell and atoms, written as POSCAR:
```
AlInCl2
1.0
12.072 0.000 0.000
0.000 3.293 0.000
-1.420 0.000 5.871
Al In Cl
2 2 4
direct
0.000 0.000 0.000 Al
0.500 0.500 0.000 Al
0.180 0.500 0.349 In
0.680 0.000 0.349 In
0.025 0.500 0.710 Cl
0.352 0.000 0.029 Cl
0.525 0.000 0.710 Cl
0.852 0.500 0.029 Cl
```

## Properties
- E (eV per atom) = -3.218
- energy relative to the lowest polymorph listed for this composition (eV per atom) = 0.047
- formation energy without anion corrections (eV/atom) = -0.67